Record 1
# LaScCrBr2, optimized geometry, DFT PBE
# - Raw formation energy: 47 meV/atom
# - Density of states at the Fermi level: 1.030 states/eV/atom
# - Volume: 133.7 Å³ per cell
# - Space-group type: P4/mmm (123)
data_LaScCrBr2
_space_group_name_H-M_alt 'P 1'
_space_group_IT_number 1
_cell_length_a 5.055
_cell_length_b 5.055
_cell_length_c 5.230
_cell_angle_alpha 90.00
_cell_angle_beta 90.00
_cell_angle_gamma 90.00
loop_
_space_group_symop_operation_xyz
'x,y,z'
loop_
_atom_site_label
_atom_site_fract_x
_atom_site_fract_y
_atom_site_fract_z
La1 0.000 0.000 0.000
Sc1 0.500 0.500 0.000
Cr1 0.500 0.500 0.500
Br1 0.000 0.500 0.500
Br2 0.500 0.000 0.500

Record 2
# LaCrTe2Br, optimized geometry, DFT PBE
# - Raw formation energy: 422 meV/atom
# - Density of states at the Fermi level: 1.180 states/eV/atom
# - Volume: 262.2 Å³ per cell
# - Space-group type: P4/mmm (123)
data_LaCrTe2Br
_space_group_name_H-M_alt 'P 1'
_space_group_IT_number 1
_cell_length_a 5.961
_cell_length_b 5.961
_cell_length_c 7.378
_cell_angle_alpha 90.00
_cell_angle_beta 90.00
_cell_angle_gamma 90.00
loop_
_space_group_symop_operation_xyz
'x,y,z'
loop_
_atom_site_label
_atom_site_fract_x
_atom_site_fract_y
_atom_site_fract_z
La1 0.000 0.000 0.000
Cr1 0.000 0.000 0.500
Te1 0.000 0.500 0.000
Te2 0.500 0.000 0.000
Br1 0.500 0.500 0.500

Record 3
# La2TiCrBr, optimized geometry, DFT PBE
# - Raw formation energy: 628 meV/atom
# - Density of states at the Fermi level: 1.647 states/eV/atom
# - Volume: 140.8 Å³ per cell
# - Space-group type: P4/mmm (123)
data_La2TiCrBr
_space_group_name_H-M_alt 'P 1'
_space_group_IT_number 1
_cell_length_a 5.449
_cell_length_b 5.449
_cell_length_c 4.743
_cell_angle_alpha 90.00
_cell_angle_beta 90.00
_cell_angle_gamma 90.00
loop_
_space_group_symop_operation_xyz
'x,y,z'
loop_
_atom_site_label
_atom_site_fract_x
_atom_site_fract_y
_atom_site_fract_z
La1 0.000 0.500 0.000
La2 0.500 0.000 0.000
Ti1 0.000 0.000 0.500
Cr1 0.500 0.500 0.000
Br1 0.500 0.500 0.500

Record 4
# LiCr2Br, optimized geometry, DFT PBE
# - Raw formation energy: 797 meV/atom
# - Polymorph energy (0 for the lowest one): 788 meV/atom
# - Density of states at the Fermi level: 0.310 states/eV/atom
# - Volume: 82.4 Å³ per cell
# - Space-group type: Fm-3m (225)
data_LiCr2Br
_space_group_name_H-M_alt 'P 1'
_space_group_IT_number 1
_cell_length_a 4.885
_cell_length_b 4.885
_cell_length_c 4.885
_cell_angle_alpha 60.00
_cell_angle_beta 60.00
_cell_angle_gamma 60.00
loop_
_space_group_symop_operation_xyz
'x,y,z'
loop_
_atom_site_label
_atom_site_fract_x
_atom_site_fract_y
_atom_site_fract_z
Li1 0.000 0.000 0.000
Cr1 0.250 0.250 0.250
Cr2 0.750 0.750 0.750
Br1 0.500 0.500 0.500